# 1
Crystalline Cs2NpCl4 at its relaxed geometry, computed with PBE.

E_form (uncorrected) (kJ/mol of formula units): -1083
Raw total energy (eV per atom): -4.751
M_tot (μB per formula unit): 4.93
Calculated density (g/cm³): 3.14

Cell and atoms, written as POSCAR:
```
Cs2NpCl4
1.0
7.007 0.098 0.000
-0.011 7.008 0.000
-3.498 -3.553 6.939
Cs Cl Np
2 4 1
Cartesian
4.062 -0.501 3.470
0.553 2.954 3.470
4.342 6.753 0.000
0.312 2.659 0.000
0.615 -0.605 2.627
4.113 2.948 4.312
7.001 0.104 0.000
```

# 2
Crystalline Cs3Np2Cl9 at its relaxed geometry, computed with PBE.

E_form (uncorrected) (kJ/mol of formula units): -2539
Raw total energy (eV per atom): -5.098
M_tot (μB per formula unit): 8.00
Calculated density (g/cm³): 3.93

Cell and atoms, written as POSCAR:
```
Cs3Np2Cl9
1.0
10.025 0.041 0.941
0.861 9.988 0.941
0.044 0.041 10.069
Cl Cs Np
18 6 4
Cartesian
1.590 9.165 3.615
8.155 9.235 2.402
6.802 9.067 8.963
6.480 7.692 5.456
9.340 0.905 8.336
4.450 2.378 6.495
9.717 7.552 7.574
9.417 2.698 1.906
8.073 6.037 10.353
1.513 7.372 10.046
8.063 4.211 6.940
1.213 2.517 4.378
4.704 5.829 8.650
2.867 5.858 5.011
4.128 1.003 2.988
2.857 4.032 1.598
2.775 0.835 9.549
6.226 4.241 3.302
1.278 4.140 8.022
6.159 2.558 9.963
3.316 9.134 7.023
9.651 5.930 3.929
4.770 7.511 1.988
7.614 0.935 4.929
9.289 8.558 10.157
1.641 1.512 1.794
3.824 3.523 4.181
7.106 6.547 7.770
```

# 3
Crystalline CsNp2Cl11 at its relaxed geometry, computed with PBE.

E_form (uncorrected) (kJ/mol of formula units): -2088
Raw total energy (eV per atom): -4.907
M_tot (μB per formula unit): 4.00
Calculated density (g/cm³): 2.88

Cell and atoms, written as POSCAR:
```
CsNp2Cl11
1.0
11.063 0.000 5.766
5.082 9.571 3.746
1.085 0.064 11.414
Cl Cs Np
22 2 4
Cartesian
10.745 3.148 13.285
11.010 6.823 12.375
9.106 7.629 16.027
8.615 4.817 10.463
14.691 8.401 12.643
6.485 6.487 7.640
4.834 6.027 4.562
4.619 1.734 11.543
8.124 2.006 4.898
12.231 4.421 10.033
1.718 0.397 3.210
4.999 5.214 10.893
15.512 9.238 17.716
12.396 3.608 16.363
8.087 1.274 11.134
12.611 7.901 9.382
2.539 1.234 8.283
10.349 5.987 7.478
0.000 0.000 0.000
9.143 8.361 9.792
6.220 2.812 8.551
6.881 3.648 13.447
4.308 2.409 5.231
12.923 7.226 15.694
6.518 3.223 11.005
11.392 1.659 15.151
10.712 6.412 9.920
5.838 7.976 5.775
```

# 4
Crystalline CsNpCl6 at its relaxed geometry, computed with PBE.

E_form (uncorrected) (kJ/mol of formula units): -1275
Raw total energy (eV per atom): -4.762
E above lowest polymorph (meV per atom): 11
M_tot (μB per formula unit): 2.00
Calculated density (g/cm³): 3.18

Cell and atoms, written as POSCAR:
```
CsNpCl6
1.0
7.263 0.000 0.000
3.631 6.290 0.000
3.631 2.097 6.650
Cl Cs Np
6 1 1
Cartesian
3.631 4.237 1.468
12.748 7.360 5.182
5.485 1.026 1.468
9.041 7.360 5.182
1.778 1.026 1.468
10.894 4.149 5.182
7.263 4.193 3.325
0.000 0.000 0.000
```

# 5
Crystalline Cs7Np3Cl12O6 at its relaxed geometry, computed with PBE.

E_form (uncorrected) (kJ/mol of formula units): -5911
Raw total energy (eV per atom): -5.642
M_tot (μB per formula unit): 4.00
Calculated density (g/cm³): 3.95

Cell and atoms, written as POSCAR:
```
Cs7Np3Cl12O6
1.0
-2.883 4.957 -12.023
-2.492 -13.085 0.122
-7.501 6.035 9.206
O Cl Cs Np
12 24 14 6
Cartesian
-7.766 3.813 0.903
-5.049 -10.278 -0.496
-7.857 -2.999 -4.343
-7.632 -0.836 3.873
-8.897 -2.750 1.071
-10.211 6.401 0.240
-3.769 -3.743 -0.711
-10.302 -0.410 -5.007
-6.463 3.515 -4.452
-3.783 -8.364 2.306
-1.416 -2.083 -2.907
-4.110 5.175 -6.648
-10.592 -0.435 2.507
-3.499 -2.521 -7.815
-5.513 2.386 -7.387
-8.648 5.980 3.098
-1.137 -2.256 0.361
-5.512 -7.055 -0.058
-4.139 -3.634 -3.896
-6.155 -6.557 -10.048
-7.463 -6.717 -3.675
-3.302 2.983 -4.339
-9.236 4.136 -1.930
-7.704 -1.073 -6.905
-3.941 -0.588 -1.611
-7.721 -8.370 5.926
-7.362 5.644 -6.677
-2.178 -8.846 -0.519
-7.070 6.800 -0.274
-4.211 3.216 2.101
-5.985 -3.224 2.331
-7.649 0.102 -3.278
-7.208 0.056 0.821
-10.362 -2.435 -2.420
-9.273 -3.570 4.230
-8.656 0.860 7.115
-3.888 -7.200 -3.266
-6.942 -3.691 -1.323
-6.513 -2.306 6.525
-0.583 1.002 -2.430
-2.024 3.480 -8.441
-7.590 -6.438 2.855
-6.523 -4.687 -6.754
-3.796 -0.389 1.980
-5.696 2.852 -1.384
-8.460 7.228 -3.600
-10.283 0.820 -0.886
-4.612 -0.300 -5.167
-7.587 2.394 3.800
-2.762 -5.323 1.921
-8.989 5.107 0.571
-2.593 -2.913 -1.809
-5.287 4.345 -5.550
-4.416 -9.321 0.905
-8.265 -1.793 2.472
-9.080 -1.705 -4.675
```

# 6
Crystalline Cs2NpCl2O2 at its relaxed geometry, computed with PBE.

E_form (uncorrected) (kJ/mol of formula units): -1467
Raw total energy (eV per atom): -6.209
M_tot (μB per formula unit): 3.00
Calculated density (g/cm³): 5.42

Cell and atoms, written as POSCAR:
```
Cs2NpCl2O2
1.0
4.529 0.000 0.000
0.000 4.529 0.000
-2.264 -2.264 9.043
Cs Cl O Np
2 2 2 1
Cartesian
2.264 2.264 2.420
0.000 0.000 6.623
0.000 0.000 2.859
2.264 2.264 6.184
0.000 2.264 0.000
2.264 0.000 0.000
0.000 0.000 0.000
```

# 7
Crystalline Cs2NpCl3O3 at its relaxed geometry, computed with PBE.

E_form (uncorrected) (kJ/mol of formula units): -1490
Raw total energy (eV per atom): -5.612
M_tot (μB per formula unit): 0.18
Calculated density (g/cm³): 4.79

Cell and atoms, written as POSCAR:
```
Cs2NpCl3O3
1.0
3.333 0.000 0.000
0.000 8.882 0.000
0.000 -4.441 7.692
Cl O Cs Np
3 3 2 1
Cartesian
0.000 3.018 0.000
0.000 2.932 5.078
0.000 -1.509 2.614
1.667 -3.752 6.499
1.667 0.689 1.193
1.667 7.504 0.000
1.667 4.441 2.564
1.667 0.000 5.128
0.000 0.000 0.000
```

# 8
Crystalline CsNpPbCl6 at its relaxed geometry, computed with PBE.

E_form (uncorrected) (kJ/mol of formula units): -1363
Raw total energy (eV per atom): -4.746
M_tot (μB per formula unit): 4.00
Calculated density (g/cm³): 3.45

Cell and atoms, written as POSCAR:
```
CsNpPbCl6
1.0
10.440 0.000 0.000
0.000 10.004 0.000
-5.220 -5.002 7.271
Cl Np Cs Pb
12 2 2 2
Cartesian
5.220 -2.501 4.450
5.220 2.501 1.405
2.241 -0.498 5.438
7.461 5.500 1.833
2.979 5.500 1.833
-2.241 -0.498 5.438
2.979 -0.498 1.833
0.000 2.501 5.865
-2.241 5.500 5.438
2.241 5.500 5.438
0.000 7.503 2.821
7.461 -0.498 1.833
2.610 -2.501 3.635
-2.610 -2.501 3.635
0.000 2.501 2.418
5.220 2.501 4.852
5.220 5.002 0.000
5.220 0.000 0.000
```

# 9
Crystalline Cs2NpPbCl6 at its relaxed geometry, computed with PBE.

E_form (uncorrected) (kJ/mol of formula units): -1506
Raw total energy (eV per atom): -4.505
M_tot (μB per formula unit): 5.00
Calculated density (g/cm³): 4.01

Cell and atoms, written as POSCAR:
```
Cs2NpPbCl6
1.0
-4.052 0.378 6.572
3.960 -7.282 2.860
8.141 6.258 4.659
Cl Cs Pb Np
12 4 2 2
Cartesian
5.084 -4.156 3.374
0.891 -6.956 7.785
9.243 -0.960 5.754
0.921 0.192 5.103
1.145 -3.954 3.309
1.062 3.370 7.263
2.932 -7.146 4.475
-0.789 -3.773 6.447
4.903 3.254 7.382
4.860 -0.010 5.167
3.073 3.183 4.001
2.742 0.187 8.602
7.315 -0.769 9.100
3.016 -4.073 6.640
2.989 0.109 1.836
6.831 3.062 4.036
-0.947 -1.796 4.066
6.951 -2.168 4.411
2.967 1.622 6.282
3.038 -5.586 2.194
```

# 10
Crystalline CsNpPb2Cl8 at its relaxed geometry, computed with PBE.

E_form (uncorrected) (kJ/mol of formula units): -1698
Raw total energy (eV per atom): -4.465
M_tot (μB per formula unit): 4.00
Calculated density (g/cm³): 4.09

Cell and atoms, written as POSCAR:
```
CsNpPb2Cl8
1.0
-6.758 -1.310 0.235
0.992 -5.174 4.273
-1.244 5.410 7.454
Cl Pb Cs Np
8 2 1 1
Cartesian
-0.578 -3.000 4.801
-6.432 1.926 7.161
-3.932 -1.986 6.792
-5.703 -1.267 2.756
-3.128 3.632 8.471
-3.078 0.912 5.170
-1.306 0.193 9.206
-3.882 -4.705 3.492
-3.205 -1.902 4.144
-3.805 0.828 7.819
-0.622 2.705 3.727
0.000 0.000 0.000
```

# 11
Crystalline CsNpPdCl6 at its relaxed geometry, computed with PBE.

E_form (uncorrected) (kJ/mol of formula units): -1215
Raw total energy (eV per atom): -4.740
M_tot (μB per formula unit): 2.29
Calculated density (g/cm³): 3.61

Cell and atoms, written as POSCAR:
```
CsNpPdCl6
1.0
7.502 0.002 0.471
3.753 5.406 0.233
0.581 -0.002 7.849
Cl Np Cs Pd
6 1 1 1
Cartesian
6.899 1.987 6.210
3.195 0.172 5.738
4.885 0.171 2.580
5.440 3.612 3.123
10.147 3.615 5.665
8.689 1.985 2.580
7.793 3.606 4.394
4.335 4.620 8.082
4.040 1.857 4.159
```

# 12
Crystalline CsPuNpCl6 at its relaxed geometry, computed with PBE.

E_form (uncorrected) (kJ/mol of formula units): -1613
Raw total energy (eV per atom): -6.214
M_tot (μB per formula unit): 10.00
Calculated density (g/cm³): 3.88

Cell and atoms, written as POSCAR:
```
CsPuNpCl6
1.0
-5.181 -4.663 -2.228
7.066 -1.720 -0.814
-0.011 -6.566 13.770
Np Cl Pu Cs
2 12 2 2
Cartesian
-1.102 -5.324 1.686
2.975 -7.625 9.042
1.151 -4.936 0.121
-1.946 -2.737 1.167
-3.212 -5.235 3.478
-2.506 -6.257 -0.512
-0.785 -8.037 2.144
0.722 -8.013 10.607
5.086 -7.714 7.250
0.689 -4.740 3.717
4.380 -6.692 11.240
2.659 -4.912 8.584
1.185 -8.209 7.010
3.820 -10.212 9.561
2.981 -4.343 2.157
-1.107 -8.606 8.571
-0.006 -3.283 6.885
0.000 0.000 0.000
```

Question: Which of these has the lowest E_form (uncorrected)?
Answer: Cs7Np3Cl12O6

Question: Among the records above, which one has the highest E_form (uncorrected)?
Answer: Cs2NpCl4

Question: Which of these has the lowest raw total energy?
Answer: CsPuNpCl6